# 1
PBE PmCuRh, optimized geometry; density of states at the Fermi level = 0.801 states/eV/atom; magnetic moment = 0.000 μB per atom; relative energy among the computed polymorphs = 72 meV/atom; density = 8.556 Mg/m³; formation energy from the elements = -1.28 eV/f.u.
1.0
4.287 0.000 0.000
-2.143 3.713 0.000
0.000 0.000 3.798
Pm Cu Rh
1 1 1
direct
0.000 0.000 0.000
0.667 0.333 0.500
0.333 0.667 0.500

***

# 2
PBE Li2PmScSe4, optimized geometry; magnetic moment = 0.000 μB per atom; density = 4.744 Mg/m³; raw formation energy = -12.92 eV/f.u.
1.0
6.873 0.000 0.000
0.000 4.029 0.000
-2.357 0.000 6.570
Li Pm Sc Se
2 1 1 4
direct
0.000 0.000 0.000
0.000 0.500 0.500
0.500 0.000 0.500
0.500 0.500 0.000
0.245 0.500 0.231
0.254 0.000 0.767
0.746 0.000 0.233
0.755 0.500 0.769

***

# 3
PBE La3W, optimized geometry; density of states at the Fermi level = 1.439 states/eV/atom; magnetic moment = 0.000 μB per atom; relative energy among the computed polymorphs = 122 meV/atom; density = 8.677 Mg/m³; formation energy from the elements = 2.14 eV/f.u.
1.0
7.080 0.000 0.000
-3.540 6.132 0.000
0.000 0.000 5.294
La W
6 2
direct
0.180 0.361 0.250
0.180 0.820 0.250
0.361 0.180 0.750
0.639 0.820 0.250
0.820 0.180 0.750
0.820 0.639 0.750
0.333 0.667 0.750
0.667 0.333 0.250

***

# 4
PBE TlGaGe2, optimized geometry; density of states at the Fermi level = 0.248 states/eV/atom; magnetic moment = 0.000 μB per atom; relative energy among the computed polymorphs = 0 meV/atom; density = 7.605 Mg/m³; formation energy from the elements = 0.65 eV/f.u.
1.0
3.518 0.000 0.000
0.000 3.518 0.000
0.000 0.000 7.401
Tl Ga Ge
1 1 2
direct
0.000 0.000 0.000
0.000 0.000 0.500
0.500 0.500 0.318
0.500 0.500 0.682

***

# 5
PBE LiLa3Dy3Te8, optimized geometry; density of states at the Fermi level = 0.316 states/eV/atom; magnetic moment = 0.000 μB per atom; density = 6.453 Mg/m³; raw formation energy = -21.42 eV/f.u.
1.0
4.431 2.558 7.311
-4.431 2.558 7.311
0.000 -5.116 7.311
Li La Dy Te
1 3 3 8
direct
0.000 0.000 0.000
0.000 0.000 0.500
0.000 0.500 0.000
0.500 0.000 0.000
0.000 0.500 0.500
0.500 0.000 0.500
0.500 0.500 0.000
0.247 0.247 0.742
0.247 0.742 0.247
0.255 0.255 0.255
0.258 0.753 0.753
0.742 0.247 0.247
0.745 0.745 0.745
0.753 0.258 0.753
0.753 0.753 0.258

***

# 6
PBE LaZr3Si, optimized geometry; density of states at the Fermi level = 1.347 states/eV/atom; magnetic moment = 0.000 μB per atom; relative energy among the computed polymorphs = 0 meV/atom; density = 5.446 Mg/m³; raw formation energy = 0.42 eV/f.u.
1.0
5.122 0.000 0.000
0.000 5.122 0.000
0.000 0.000 5.122
La Zr Si
1 3 1
direct
0.000 0.000 0.000
0.000 0.500 0.500
0.500 0.000 0.500
0.500 0.500 0.000
0.500 0.500 0.500

***

# 7
PBE Ta2SnMoPd, optimized geometry; density of states at the Fermi level = 1.548 states/eV/atom; magnetic moment = 0.000 μB per atom; density = 9.571 Mg/m³; formation energy from the elements = 6.23 eV/f.u.
1.0
4.823 0.000 0.000
0.000 4.823 0.000
0.000 0.000 5.095
Ta Sn Mo Pd
2 1 1 1
direct
0.000 0.500 0.000
0.500 0.000 0.000
0.000 0.000 0.500
0.000 0.000 0.000
0.500 0.500 0.500

***

# 8
PBE K2Sb5Au4, optimized geometry; density of states at the Fermi level = 0.374 states/eV/atom; magnetic moment = 0.000 μB per atom; density = 8.011 Mg/m³; raw formation energy = -1.63 eV/f.u.
1.0
6.718 -3.146 0.000
6.718 3.146 0.000
-4.562 0.000 7.233
K Sb Au
2 5 4
direct
0.000 0.000 0.236
0.000 0.000 0.764
0.001 0.503 0.230
0.497 0.999 0.770
0.500 0.500 0.000
0.503 0.001 0.230
0.999 0.497 0.770
0.292 0.292 0.533
0.459 0.459 0.309
0.541 0.541 0.691
0.708 0.708 0.467

***

# 9
PBE Be2IrRu, optimized geometry; density of states at the Fermi level = 0.876 states/eV/atom; magnetic moment = 0.000 μB per atom; density = 11.862 Mg/m³; formation energy from the elements = -1.52 eV/f.u.
1.0
2.803 0.000 0.000
0.000 3.717 0.000
-1.387 0.000 4.183
Be Ir Ru
2 1 1
direct
0.000 0.000 0.000
0.157 0.500 0.314
0.720 0.000 0.445
0.436 0.500 0.868

***

# 10
PBE LiCeP, optimized geometry; density of states at the Fermi level = 2.324 states/eV/atom; magnetic moment = 0.602 μB per atom; density = 5.007 Mg/m³; formation energy from the elements = -2.72 eV/f.u.
1.0
4.115 0.000 0.000
-2.058 3.564 0.000
0.000 0.000 4.026
Li Ce P
1 1 1
direct
0.000 0.000 0.000
0.667 0.333 0.500
0.333 0.667 0.000

***

# 11
PBE CdAgRu, optimized geometry; density of states at the Fermi level = 0.705 states/eV/atom; magnetic moment = 0.000 μB per atom; relative energy among the computed polymorphs = 0 meV/atom; density = 10.316 Mg/m³; formation energy from the elements = 0.20 eV/f.u.
1.0
2.903 0.000 0.000
0.000 2.903 0.000
0.000 0.000 12.276
Cd Ag Ru
2 2 2
direct
0.250 0.250 0.233
0.750 0.750 0.767
0.250 0.250 0.586
0.750 0.750 0.414
0.250 0.250 0.936
0.750 0.750 0.064

***

# 12
PBE Tl5In2Hg6, optimized geometry; density of states at the Fermi level = 0.623 states/eV/atom; magnetic moment = 0.000 μB per atom; density = 7.947 Mg/m³; formation energy from the elements = 2.70 eV/f.u.
1.0
4.452 2.570 7.471
-4.452 2.570 7.471
0.000 -5.141 7.471
Tl In Hg
5 2 6
direct
0.000 0.000 0.000
0.275 0.275 0.275
0.420 0.420 0.420
0.580 0.580 0.580
0.725 0.725 0.725
0.132 0.132 0.132
0.868 0.868 0.868
0.169 0.500 0.831
0.169 0.831 0.500
0.500 0.169 0.831
0.500 0.831 0.169
0.831 0.169 0.500
0.831 0.500 0.169

***

# 13
PBE Pm5Cd2Ni2, optimized geometry; density of states at the Fermi level = 0.954 states/eV/atom; magnetic moment = 0.000 μB per atom; density = 7.359 Mg/m³; formation energy from the elements = -2.16 eV/f.u.
1.0
7.996 -3.515 0.000
7.996 3.515 0.000
0.000 0.000 8.567
Pm Cd Ni
10 4 4
direct
0.000 0.000 0.000
0.038 0.725 0.683
0.225 0.538 0.183
0.275 0.962 0.683
0.462 0.775 0.183
0.500 0.500 0.500
0.538 0.225 0.817
0.725 0.038 0.317
0.775 0.462 0.817
0.962 0.275 0.317
0.215 0.215 0.000
0.285 0.285 0.500
0.715 0.715 0.500
0.785 0.785 0.000
0.124 0.876 0.394
0.376 0.624 0.894
0.624 0.376 0.106
0.876 0.124 0.606

***

# 14
PBE CaTbNi2, optimized geometry; density of states at the Fermi level = 0.316 states/eV/atom; magnetic moment = 0.000 μB per atom; density = 6.603 Mg/m³; formation energy from the elements = -0.92 eV/f.u.
1.0
3.404 0.000 0.000
0.000 3.404 0.000
0.000 0.000 6.865
Ca Tb Ni
1 1 2
direct
0.000 0.000 0.000
0.000 0.000 0.500
0.500 0.500 0.280
0.500 0.500 0.720

***

# 15
PBE LiYGa2Pt4, optimized geometry; density of states at the Fermi level = 0.367 states/eV/atom; magnetic moment = 0.000 μB per atom; density = 12.679 Mg/m³; formation energy from the elements = -6.83 eV/f.u.
1.0
2.161 1.248 8.223
-2.161 1.248 8.223
0.000 -2.495 8.223
Li Y Ga Pt
1 1 2 4
direct
0.000 0.000 0.000
0.500 0.500 0.500
0.260 0.260 0.260
0.740 0.740 0.740
0.099 0.099 0.099
0.369 0.369 0.369
0.631 0.631 0.631
0.901 0.901 0.901

***

# 16
PBE YSbTe2Au, optimized geometry; density of states at the Fermi level = 1.333 states/eV/atom; magnetic moment = 0.000 μB per atom; relative energy among the computed polymorphs = 305 meV/atom; density = 5.655 Mg/m³; raw formation energy = 1.66 eV/f.u.
1.0
5.749 0.000 0.000
0.000 5.749 0.000
0.000 0.000 5.890
Y Sb Te Au
1 1 2 1
direct
0.000 0.000 0.000
0.000 0.000 0.500
0.000 0.500 0.000
0.500 0.000 0.000
0.500 0.500 0.500

***

# 17
PBE ThZr2C, optimized geometry; density of states at the Fermi level = 0.906 states/eV/atom; magnetic moment = 0.000 μB per atom; density = 8.331 Mg/m³; formation energy from the elements = -1.46 eV/f.u.
1.0
1.681 0.970 8.688
-1.681 0.970 8.688
0.000 -1.941 8.688
Th Zr C
1 2 1
direct
0.000 0.000 0.000
0.215 0.215 0.215
0.785 0.785 0.785
0.500 0.500 0.500

***

# 18
PBE HoZn2Ge, optimized geometry; density of states at the Fermi level = 0.528 states/eV/atom; magnetic moment = 0.000 μB per atom; relative energy among the computed polymorphs = 172 meV/atom; density = 7.745 Mg/m³; formation energy from the elements = -0.97 eV/f.u.
1.0
2.103 1.214 5.154
-2.103 1.214 5.154
0.000 -2.429 5.154
Ho Zn Ge
1 2 1
direct
0.000 0.000 0.000
0.225 0.225 0.225
0.775 0.775 0.775
0.500 0.500 0.500